# 1
NdDy2Sb3: optimized geometry, PBE.

The space group is P-3m1 (No. 164) and the conventional cell measures 4.4275, 4.4275 and 10.8451 Å, with angles of 90.00, 90.00 and 120.00 degrees. The distinct sites, in fractional coordinates, are Nd at (0.0000, 0.0000, 0.0000), Dy at (0.3333, 0.6667, 0.3356), Sb at (0.0000, 0.0000, 0.5000) and Sb at (0.3333, 0.6667, 0.8268).

The crystal system is trigonal. Its total magnetic moment is 0.0 μB/f.u. The electronic total energy comes out at -33.2 eV for the cell shown.

=====

# 2
NdDySb2: optimized geometry, PBE.

The space group is P4/mmm (No. 123) and the conventional cell measures 4.453, 4.453 and 6.298 Å, with angles of 90.00, 90.00 and 90.00 degrees. The distinct sites, in fractional coordinates, are Nd at (0.000, 0.000, 0.000), Dy at (0.500, 0.500, 0.500), Sb at (0.000, 0.000, 0.500) and Sb at (0.500, 0.500, 0.000).

The crystal system is tetragonal. Its total magnetic moment is 0.0 μB/f.u. Its relative energy among the computed polymorphs is 0 meV per atom. The electronic total energy comes out at -22.2 eV for the cell shown.

=====

# 3
NdDySb: optimized geometry, PBE.

The space group is F-43m (No. 216) and the conventional cell measures 7.291, 7.291 and 7.291 Å, with angles of 90.00, 90.00 and 90.00 degrees. The distinct sites, in fractional coordinates, are Nd at (0.000, 0.000, 0.000), Dy at (0.000, 0.000, 0.500) and Sb at (0.250, 0.250, 0.750).

The crystal system is cubic. Its total magnetic moment is 0.0 μB/f.u. The electronic total energy comes out at -61.0 eV for the cell shown.

=====

# 4
NdDySb2: optimized geometry, PBE.

The space group is P4/nmm (No. 129, origin choice 2) and the conventional cell measures 4.502, 4.502 and 11.450 Å, with angles of 90.00, 90.00 and 90.00 degrees. The distinct sites, in fractional coordinates, are Nd at (0.250, 0.250, 0.214), Dy at (0.250, 0.750, 0.500), Sb at (0.250, 0.250, 0.693) and Sb at (0.250, 0.750, 0.000).

The crystal system is tetragonal. Its total magnetic moment is 0.0 μB/f.u. Its relative energy among the computed polymorphs is 313 meV per atom. The electronic total energy comes out at -41.9 eV for the cell shown.

=====

# 5
NdDySc: optimized geometry, PBE.

The space group is F-43m (No. 216) and the conventional cell measures 7.487, 7.487 and 7.487 Å, with angles of 90.00, 90.00 and 90.00 degrees. The distinct sites, in fractional coordinates, are Nd at (0.000, 0.000, 0.000), Dy at (0.000, 0.000, 0.500) and Sc at (0.250, 0.250, 0.750).

The crystal system is cubic. Its total magnetic moment is 0.1 μB/f.u. For the energy of formation, the calculation gives 0.673 eV per atom. Its relative energy among the computed polymorphs is 0 meV per atom. The electronic total energy comes out at -54.7 eV for the cell shown.

=====

# 6
NdDySe2: optimized geometry, PBE.

The space group is C2/m (No. 12) and the conventional cell measures 7.120, 4.124 and 7.266 Å, with angles of 90.00, 109.19 and 90.00 degrees. The distinct sites, in fractional coordinates, are Nd at (0.000, 0.000, 0.000), Dy at (0.000, 0.500, 0.500) and Se at (0.245, 0.000, 0.735).

The crystal system is monoclinic. Its total magnetic moment is 0.0 μB/f.u. The electronic total energy comes out at -47.1 eV for the cell shown.

=====

# 7
NdDy3Se6: optimized geometry, PBE.

The space group is P2_1/m (No. 11) and the conventional cell measures 11.591, 4.133 and 11.890 Å, with angles of 90.00, 109.08 and 90.00 degrees. The distinct sites, in fractional coordinates, are Nd at (0.047, 0.250, 0.195), Dy at (0.159, 0.250, 0.585), Dy at (0.319, 0.750, 0.999), Dy at (0.437, 0.250, 0.333), Se at (0.084, 0.750, 0.405), Se at (0.116, 0.250, 0.965), Se at (0.196, 0.750, 0.750), Se at (0.260, 0.750, 0.226), Se at (0.394, 0.250, 0.560) and Se at (0.480, 0.250, 0.114).

The crystal system is monoclinic. Its total magnetic moment is 0.0 μB/f.u. The electronic total energy comes out at -116.8 eV for the cell shown.

=====

# 8
Nd2DySe3: optimized geometry, PBE.

The space group is P-3m1 (No. 164) and the conventional cell measures 4.1537, 4.1537 and 10.2995 Å, with angles of 90.00, 90.00 and 120.00 degrees. The distinct sites, in fractional coordinates, are Nd at (0.3333, 0.6667, 0.1698), Dy at (0.0000, 0.0000, 0.5000), Se at (0.0000, 0.0000, 0.0000) and Se at (0.3333, 0.6667, 0.6553).

The crystal system is trigonal. Its total magnetic moment is 0.0 μB/f.u. The electronic total energy comes out at -35.4 eV for the cell shown.